Entry 1:
{
  "formula": "Sb2TePb",
  "functional": "PBE-GGA",
  "state": "optimized geometry",
  "rho_g_cm3": 7.23,
  "space_group": "C2/m, No. 12",
  "m_tot_mub_per_cell": 0.0,
  "e_form_raw_ev_per_fu": -0.315,
  "relative_energy_mev_per_atom": 63.6,
  "lattice_angstrom": [[7.352, -0.007, 0.005], [6.001, 4.248, 0.005], [-1.840, -0.584, 4.243]],
  "species": ["Pb", "Sb", "Sb", "Te"],
  "fractional_positions": [[0.250, 0.250, 0.250], [0.503, 0.503, 0.545], [0.997, 0.997, 0.955], [0.750, 0.750, 0.750]]
}


Entry 2:
{
  "formula": "ReAgTe2",
  "functional": "PBE-GGA",
  "state": "optimized geometry",
  "rho_g_cm3": 9.25,
  "space_group": "Immm, No. 71",
  "m_tot_mub_per_cell": 0.0,
  "e_form_raw_ev_per_fu": 1.689,
  "relative_energy_mev_per_atom": 107.6,
  "lattice_angstrom": [[-1.443, 4.114, 5.516], [-2.127, -1.528, 6.525], [4.456, -0.376, -5.426]],
  "species": ["Ag", "Te", "Te", "Re"],
  "fractional_positions": [[0.750, 0.250, 0.500], [0.417, 0.417, 0.000], [0.083, 0.083, 0.000], [0.250, 0.750, 0.500]]
}


Entry 3:
{
  "formula": "RbHf2Cr",
  "functional": "PBE-GGA",
  "state": "optimized geometry",
  "rho_g_cm3": 9.53,
  "space_group": "Fm-3m, No. 225",
  "formation_enthalpy_0k_ev_per_atom": 1.4842,
  "m_tot_mub_per_cell": 0.0,
  "relative_energy_mev_per_atom": 183.4,
  "lattice_angstrom": [[-2.060, 2.319, 3.867], [-1.620, 4.660, -0.481], [-4.866, 0.947, 0.018]],
  "species": ["Cr", "Hf", "Hf", "Rb"],
  "fractional_positions": [[0.000, 0.000, 0.000], [0.250, 0.250, 0.250], [0.750, 0.750, 0.750], [0.500, 0.500, 0.500]]
}


Entry 4:
{
  "formula": "La8Ru3Br4Cl",
  "functional": "PBE-GGA",
  "state": "optimized geometry",
  "rho_g_cm3": 6.06,
  "space_group": "R-3m, No. 166",
  "m_tot_mub_per_cell": 0.0,
  "e_form_raw_ev_per_fu": -16.916,
  "lattice_angstrom": [[-2.636, 3.106, 7.402], [-8.751, -1.749, -2.383], [5.424, -6.476, -0.173]],
  "species": ["La", "Br", "Br", "Ru", "La", "Ru", "Br", "Cl", "La", "La", "La", "La", "La", "Ru", "Br", "La"],
  "fractional_positions": [[0.734, 0.701, 0.468], [0.500, 0.000, 0.000], [0.000, 0.000, 0.000], [0.500, 0.500, 0.000], [0.755, 0.302, 0.046], [0.500, 0.500, 0.500], [0.500, 0.000, 0.500], [0.000, 0.500, 0.000], [0.290, 0.302, 0.046], [0.244, 0.698, 0.489], [0.756, 0.302, 0.511], [0.245, 0.698, 0.954], [0.710, 0.698, 0.954], [0.000, 0.500, 0.500], [0.000, 0.000, 0.500], [0.266, 0.299, 0.532]]
}


Entry 5:
{
  "formula": "Ta2AgCl",
  "functional": "PBE-GGA",
  "state": "optimized geometry",
  "rho_g_cm3": 12.19,
  "space_group": "Fm-3m, No. 225",
  "m_tot_mub_per_cell": 0.0,
  "e_form_raw_ev_per_fu": 2.802,
  "relative_energy_mev_per_atom": 753.3,
  "lattice_angstrom": [[0.000, 3.253, 3.253], [3.253, 0.000, 3.253], [3.253, 3.253, 0.000]],
  "species": ["Cl", "Ta", "Ta", "Ag"],
  "fractional_positions": [[0.000, 0.000, 0.000], [0.250, 0.250, 0.250], [0.750, 0.750, 0.750], [0.500, 0.500, 0.500]]
}


Entry 6:
{
  "formula": "Sm2TmHf",
  "functional": "PBE-GGA",
  "state": "optimized geometry",
  "rho_g_cm3": 9.20,
  "space_group": "P4/mmm, No. 123",
  "formation_enthalpy_0k_ev_per_atom": 0.2134,
  "m_tot_mub_per_cell": 0.0,
  "relative_energy_mev_per_atom": 65.4,
  "lattice_angstrom": [[-1.943, 2.426, 2.541], [0.183, -2.830, 2.842], [6.342, 2.696, 2.276]],
  "species": ["Sm", "Hf", "Sm", "Tm"],
  "fractional_positions": [[0.000, 0.000, 0.774], [0.500, 0.500, 0.000], [0.000, 0.000, 0.226], [0.500, 0.500, 0.500]]
}


Entry 7:
{
  "formula": "Dy2Er8Mg",
  "functional": "PBE-GGA",
  "state": "optimized geometry",
  "rho_g_cm3": 8.16,
  "space_group": "Immm, No. 71",
  "formation_enthalpy_0k_ev_per_atom": 0.1066,
  "m_tot_mub_per_cell": 0.0,
  "relative_energy_mev_per_atom": 0.0,
  "lattice_angstrom": [[-4.550, -2.190, 2.049], [-2.045, -2.097, -6.783], [7.356, -5.285, 3.440]],
  "species": ["Mg", "Dy", "Er", "Er", "Er", "Er", "Er", "Er", "Dy", "Er", "Er"],
  "fractional_positions": [[0.500, 0.000, 0.000], [0.194, 0.694, 0.387], [0.181, 0.181, 0.362], [0.362, 0.596, 0.723], [0.638, 0.873, 0.277], [0.638, 0.404, 0.277], [0.000, 0.255, 0.000], [0.819, 0.819, 0.638], [0.806, 0.306, 0.613], [0.000, 0.745, 0.000], [0.362, 0.127, 0.723]]
}


Entry 8:
{
  "formula": "Tm2MnSe4",
  "functional": "PBE-GGA",
  "state": "optimized geometry",
  "rho_g_cm3": 6.19,
  "space_group": "Fd-3m, No. 227",
  "m_tot_mub_per_cell": 10.0,
  "e_form_raw_ev_per_fu": -10.172,
  "lattice_angstrom": [[2.609, -3.583, 6.817], [6.285, -3.173, -4.069], [7.598, 1.270, 2.613]],
  "species": ["Se", "Se", "Se", "Se", "Tm", "Tm", "Se", "Se", "Se", "Se", "Mn", "Mn", "Tm", "Tm"],
  "fractional_positions": [[0.746, 0.239, 0.007], [0.746, 0.753, 0.493], [0.747, 0.754, 0.007], [0.254, 0.247, 0.507], [0.500, 0.000, 0.000], [0.500, 0.000, 0.500], [0.254, 0.761, 0.993], [0.261, 0.754, 0.493], [0.739, 0.246, 0.507], [0.253, 0.246, 0.993], [0.125, 0.375, 0.250], [0.875, 0.625, 0.750], [0.000, 0.000, 0.000], [0.500, 0.500, 0.500]]
}


Entry 9:
{
  "formula": "NbHgRuO6",
  "functional": "PBE-GGA",
  "state": "optimized geometry",
  "rho_g_cm3": 5.69,
  "space_group": "Imma, No. 74",
  "m_tot_mub_per_cell": 1.8,
  "e_form_raw_ev_per_fu": -10.980,
  "lattice_angstrom": [[7.503, 0.000, 0.000], [0.000, 7.273, 0.000], [-3.751, -3.636, 5.250]],
  "species": ["O", "O", "O", "Ru", "O", "O", "O", "Hg", "O", "O", "Ru", "O", "O", "O", "Hg", "Nb", "O", "Nb"],
  "fractional_positions": [[0.200, 0.933, 0.752], [0.810, 0.060, 0.619], [0.200, 0.320, 0.752], [0.500, 0.500, 0.000], [0.437, 0.687, 0.875], [0.563, 0.313, 0.125], [0.190, 0.940, 0.381], [0.204, 0.454, 0.407], [0.553, 0.320, 0.752], [0.447, 0.067, 0.248], [0.500, 0.000, 0.000], [0.800, 0.067, 0.248], [0.447, 0.680, 0.248], [0.553, 0.933, 0.752], [0.796, 0.546, 0.593], [0.500, 0.000, 0.500], [0.800, 0.680, 0.248], [0.000, 0.000, 0.500]]
}


Entry 10:
{
  "formula": "KAc5S8",
  "functional": "PBE-GGA",
  "state": "optimized geometry",
  "rho_g_cm3": 6.34,
  "space_group": "I-4, No. 82",
  "m_tot_mub_per_cell": 0.0,
  "e_form_raw_ev_per_fu": -29.468,
  "lattice_angstrom": [[-5.688, 3.222, 4.379], [-0.216, -7.824, 0.804], [7.017, 2.664, 2.361]],
  "species": ["S", "K", "S", "Ac", "Ac", "Ac", "S", "Ac", "S", "S", "S", "Ac", "S", "S"],
  "fractional_positions": [[0.758, 0.244, 0.363], [0.250, 0.500, 0.750], [0.634, 0.912, 0.878], [0.500, 0.000, 0.500], [0.873, 0.884, 0.253], [0.011, 0.380, 0.127], [0.966, 0.088, 0.722], [0.369, 0.116, 0.989], [0.120, 0.756, 0.515], [0.122, 0.756, 0.034], [0.637, 0.395, 0.880], [0.747, 0.620, 0.631], [0.485, 0.605, 0.242], [0.278, 0.244, 0.366]]
}


Entry 11:
{
  "formula": "DyZrFePd",
  "functional": "PBE-GGA",
  "state": "optimized geometry",
  "rho_g_cm3": 9.18,
  "space_group": "F-43m, No. 216",
  "formation_enthalpy_0k_ev_per_atom": -0.2977,
  "m_tot_mub_per_cell": 0.5,
  "lattice_angstrom": [[4.738, 0.000, 0.000], [2.369, 4.104, 0.000], [2.369, 1.368, 3.869]],
  "species": ["Fe", "Zr", "Pd", "Dy"],
  "fractional_positions": [[0.500, 0.500, 0.500], [0.750, 0.750, 0.750], [0.000, 0.000, 0.000], [0.250, 0.250, 0.250]]
}


Entry 12:
{
  "formula": "ZnReAg2F",
  "functional": "PBE-GGA",
  "state": "optimized geometry",
  "rho_g_cm3": 6.33,
  "space_group": "P4/mmm, No. 123",
  "m_tot_mub_per_cell": 0.0,
  "e_form_raw_ev_per_fu": 6.269,
  "lattice_angstrom": [[-3.014, -4.009, -0.624], [2.706, -2.553, 3.335], [-2.995, 1.674, 3.711]],
  "species": ["Re", "Zn", "Ag", "F", "Ag"],
  "fractional_positions": [[0.000, 0.000, 0.000], [0.000, 0.500, 0.000], [0.000, 0.000, 0.500], [0.500, 0.500, 0.500], [0.500, 0.000, 0.000]]
}


Entry 13:
{
  "formula": "AcDy2Ho",
  "functional": "PBE-GGA",
  "state": "optimized geometry",
  "rho_g_cm3": 8.64,
  "space_group": "P4/nmm, No. 129",
  "formation_enthalpy_0k_ev_per_atom": 0.0594,
  "m_tot_mub_per_cell": 0.0,
  "relative_energy_mev_per_atom": 0.0,
  "lattice_angstrom": [[-1.364, 3.314, 0.759], [-0.130, -0.868, 3.556], [19.039, 7.271, 2.471]],
  "species": ["Ac", "Ac", "Ho", "Dy", "Dy", "Dy", "Ho", "Dy"],
  "fractional_positions": [[0.250, 0.250, 0.426], [0.750, 0.750, 0.574], [0.250, 0.250, 0.177], [0.750, 0.750, 0.059], [0.750, 0.750, 0.293], [0.250, 0.250, 0.941], [0.750, 0.750, 0.823], [0.250, 0.250, 0.707]]
}


Entry 14:
{
  "formula": "NdMgTl2",
  "functional": "PBE-GGA",
  "state": "optimized geometry",
  "rho_g_cm3": 8.85,
  "space_group": "Fm-3m, No. 225",
  "formation_enthalpy_0k_ev_per_atom": -0.2436,
  "m_tot_mub_per_cell": 0.0,
  "relative_energy_mev_per_atom": 60.9,
  "lattice_angstrom": [[-1.907, 4.612, 1.930], [-2.375, 0.116, 4.793], [2.428, 2.379, 4.132]],
  "species": ["Tl", "Mg", "Tl", "Nd"],
  "fractional_positions": [[0.750, 0.750, 0.750], [0.500, 0.500, 0.500], [0.250, 0.250, 0.250], [0.000, 0.000, 0.000]]
}


Entry 15:
{
  "formula": "Na13O2",
  "functional": "PBE-GGA",
  "state": "optimized geometry",
  "rho_g_cm3": 0.81,
  "space_group": "R-3m, No. 166",
  "m_tot_mub_per_cell": 0.0,
  "e_form_raw_ev_per_fu": -3.851,
  "lattice_angstrom": [[8.738, -1.208, -0.897], [2.452, 8.474, -0.897], [2.452, 1.592, 8.371]],
  "species": ["Na", "Na", "O", "Na", "Na", "Na", "Na", "Na", "Na", "Na", "Na", "Na", "O", "Na", "Na"],
  "fractional_positions": [[0.240, 0.547, 0.240], [0.298, 0.005, 0.005], [0.377, 0.377, 0.377], [0.005, 0.005, 0.298], [0.760, 0.760, 0.453], [0.995, 0.995, 0.702], [0.453, 0.760, 0.760], [0.995, 0.702, 0.995], [0.240, 0.240, 0.547], [0.702, 0.995, 0.995], [0.760, 0.453, 0.760], [0.005, 0.298, 0.005], [0.623, 0.623, 0.623], [0.547, 0.240, 0.240], [0.500, 0.500, 0.500]]
}


Entry 16:
{
  "formula": "AcPrSm2Er4",
  "functional": "PBE-GGA",
  "state": "optimized geometry",
  "rho_g_cm3": 7.99,
  "space_group": "Imma, No. 74",
  "formation_enthalpy_0k_ev_per_atom": 0.4311,
  "m_tot_mub_per_cell": 1.5,
  "lattice_angstrom": [[9.478, -0.027, -1.775], [-0.034, 9.478, -1.775], [-6.002, -6.006, 8.446]],
  "species": ["Er", "Sm", "Er", "Ac", "Sm", "Sm", "Er", "Pr", "Er", "Er", "Er", "Ac", "Er", "Er", "Sm", "Pr"],
  "fractional_positions": [[0.735, 0.240, 0.988], [0.500, 0.000, 0.000], [0.742, 0.758, 0.498], [0.000, 0.500, 0.500], [0.500, 0.000, 0.500], [0.000, 0.000, 0.500], [0.265, 0.760, 0.012], [0.000, 0.000, 0.000], [0.260, 0.765, 0.512], [0.742, 0.758, 0.002], [0.258, 0.242, 0.998], [0.000, 0.500, 0.000], [0.740, 0.235, 0.488], [0.258, 0.242, 0.502], [0.500, 0.500, 0.000], [0.500, 0.500, 0.500]]
}


Entry 17:
{
  "formula": "SrFe2Mo",
  "functional": "PBE-GGA",
  "state": "optimized geometry",
  "rho_g_cm3": 6.71,
  "space_group": "P4/mmm, No. 123",
  "formation_enthalpy_0k_ev_per_atom": 0.5109,
  "m_tot_mub_per_cell": 2.5,
  "relative_energy_mev_per_atom": 46.8,
  "lattice_angstrom": [[-0.082, 1.327, -2.881], [2.123, -2.118, -1.036], [-5.387, -4.468, -1.904]],
  "species": ["Fe", "Fe", "Mo", "Sr"],
  "fractional_positions": [[0.000, 0.000, 0.417], [0.000, 0.000, 0.083], [0.500, 0.500, 0.250], [0.500, 0.500, 0.750]]
}


Entry 18:
{
  "formula": "Ba2NdBiO5",
  "functional": "PBE-GGA",
  "state": "optimized geometry",
  "rho_g_cm3": 6.71,
  "space_group": "Cmc2_1, No. 36",
  "m_tot_mub_per_cell": 0.0,
  "e_form_raw_ev_per_fu": -21.192,
  "lattice_angstrom": [[-3.469, 0.087, 1.495], [4.692, -0.281, 6.129], [0.416, 12.380, 0.249]],
  "species": ["O", "Bi", "O", "O", "O", "O", "O", "O", "Nd", "Ba", "Bi", "Nd", "O", "Ba", "Ba", "Ba", "O", "O"],
  "fractional_positions": [[0.615, 0.231, 0.529], [0.476, 0.953, 0.466], [0.385, 0.769, 0.029], [0.068, 0.136, 0.056], [0.487, 0.974, 0.788], [0.706, 0.412, 0.886], [0.271, 0.543, 0.634], [0.932, 0.864, 0.556], [0.230, 0.460, 0.004], [0.896, 0.791, 0.196], [0.524, 0.047, 0.966], [0.770, 0.540, 0.504], [0.729, 0.457, 0.134], [0.104, 0.209, 0.696], [0.858, 0.716, 0.764], [0.142, 0.284, 0.264], [0.513, 0.026, 0.288], [0.294, 0.588, 0.386]]
}